Entry 1:
First-principles (GGA-PBE) data for a geometry-optimized Rb2NaSrSe structure, as listed in the Alexandria database.

Computed properties:
Spin magnetization (μB per atom): 0.00
Energy (eV/atom): -2.2850
Crystal system: tetragonal

a b c (Å): 6.827 6.827 5.978
angles (deg): 90.00 90.00 90.00
Element x y z (fractional)
Rb (0.000, 0.500, 0.000)
Rb (0.500, 0.000, 0.000)
Na (0.000, 0.000, 0.500)
Sr (0.500, 0.500, 0.500)
Se (0.500, 0.500, 0.000)

Entry 2:
First-principles (GGA-PBE) data for a geometry-optimized RbNa2TaSe4 structure, as listed in the Alexandria database.

Computed properties:
Spin magnetization (μB per atom): 0.00
Energy (eV/atom): -4.7165
Crystal system: tetragonal

a b c (Å): 7.611 7.611 9.118
angles (deg): 90.00 90.00 90.00
Element x y z (fractional)
Rb (0.000, 0.000, 0.000)
Rb (0.500, 0.500, 0.500)
Na (0.000, 0.500, 0.250)
Na (0.000, 0.500, 0.750)
Na (0.500, 0.000, 0.250)
Na (0.500, 0.000, 0.750)
Ta (0.000, 0.000, 0.500)
Ta (0.500, 0.500, 0.000)
Se (0.185, 0.185, 0.350)
Se (0.185, 0.815, 0.650)
Se (0.315, 0.315, 0.850)
Se (0.315, 0.685, 0.150)
Se (0.685, 0.315, 0.150)
Se (0.685, 0.685, 0.850)
Se (0.815, 0.185, 0.650)
Se (0.815, 0.815, 0.350)

Entry 3:
First-principles (GGA-PBE) data for a geometry-optimized RbNaTaSe4 structure, as listed in the Alexandria database.

Computed properties:
Spin magnetization (μB per atom): 0.00
Energy (eV/atom): -4.8585
Crystal system: monoclinic

a b c (Å): 7.473 6.383 9.994
angles (deg): 90.00 106.85 90.00
Element x y z (fractional)
Rb (0.227, 0.250, 0.447)
Rb (0.773, 0.750, 0.553)
Na (0.253, 0.250, 0.946)
Na (0.747, 0.750, 0.054)
Ta (0.261, 0.750, 0.171)
Ta (0.739, 0.250, 0.829)
Se (0.063, 0.750, 0.323)
Se (0.096, 0.750, 0.929)
Se (0.497, 0.521, 0.768)
Se (0.497, 0.979, 0.768)
Se (0.503, 0.021, 0.232)
Se (0.503, 0.479, 0.232)
Se (0.904, 0.250, 0.071)
Se (0.937, 0.250, 0.677)

Entry 4:
First-principles (GGA-PBE) data for a geometry-optimized Rb2NaTeSe4 structure, as listed in the Alexandria database.

Computed properties:
Spin magnetization (μB per atom): 0.00
Energy (eV/atom): -3.1319
Crystal system: orthorhombic

a b c (Å): 14.699 13.592 7.412
angles (deg): 83.27 66.68 30.05
Element x y z (fractional)
Rb (0.051, 0.051, 0.699)
Rb (0.301, 0.301, 0.949)
Rb (0.699, 0.699, 0.051)
Rb (0.949, 0.949, 0.301)
Na (0.125, 0.125, 0.125)
Na (0.875, 0.875, 0.875)
Te (0.375, 0.375, 0.375)
Te (0.625, 0.625, 0.625)
Se (0.035, 0.309, 0.498)
Se (0.309, 0.035, 0.658)
Se (0.342, 0.502, 0.691)
Se (0.498, 0.658, 0.035)
Se (0.502, 0.342, 0.965)
Se (0.658, 0.498, 0.309)
Se (0.691, 0.965, 0.342)
Se (0.965, 0.691, 0.502)